Record 1
Computed, not measured: a geometry-optimized Hf3CrO structure at the PBEsol level of DFT.

Calculated values
**DFT total energy**: -8.4674 eV/atom
**Crystal system**: cubic
**Uncorrected formation energy**: 0.93 eV/atom

a b c (Å): 4.6744 4.6744 4.6744
angles (deg): 90.00 90.00 90.00
Space group Pm-3m (No. 221)
Symmetry-distinct sites (fractional):
1 Hf 0.0000 0.0000 0.5000 x3
2 Cr 0.0000 0.0000 0.0000 x1
3 O 0.5000 0.5000 0.5000 x1



Record 2
Computed, not measured: a geometry-optimized Hf2CrSnO structure at the PBEsol level of DFT.

Calculated values
**DFT total energy**: -6.4013 eV/atom
**Crystal system**: tetragonal
**Uncorrected formation energy**: 1.75 eV/atom

a b c (Å): 5.2393 5.2393 4.7849
angles (deg): 90.00 90.00 90.00
Space group P4/mmm (No. 123)
Symmetry-distinct sites (fractional):
1 Hf 0.0000 0.5000 0.0000 x2
2 Cr 0.0000 0.0000 0.5000 x1
3 Sn 0.0000 0.0000 0.0000 x1
4 O 0.5000 0.5000 0.5000 x1



Record 3
Computed, not measured: a geometry-optimized HfCrP structure at the PBEsol level of DFT.

Calculated values
**E_form**: -2.86 eV per formula unit
**DFT total energy**: -9.7993 eV/atom
**Crystal system**: orthorhombic

a b c (Å): 6.2914 3.5808 7.4526
angles (deg): 90.00 90.00 90.00
Space group Pnma (No. 62)
Symmetry-distinct sites (fractional):
1 Hf 0.0332 0.2500 0.1735 x4
2 Cr 0.1386 0.2500 0.5580 x4
3 P 0.2301 0.7500 0.3669 x4



Record 4
Computed, not measured: a geometry-optimized HfCrPb3 structure at the PBEsol level of DFT.

Calculated values
**E_form**: 4.52 eV per formula unit
**DFT total energy**: -5.6445 eV/atom
**Crystal system**: cubic

a b c (Å): 5.0975 5.0975 5.0975
angles (deg): 90.00 90.00 90.00
Space group Pm-3m (No. 221)
Symmetry-distinct sites (fractional):
1 Hf 0.0000 0.0000 0.0000 x1
2 Cr 0.5000 0.5000 0.5000 x1
3 Pb 0.0000 0.5000 0.5000 x3



Question: What is the formula in the fourth record?
Answer: HfCrPb3



Question: Look up the DFT total energy of the first one.
Answer: -8.4674 eV/atom